Material: LiInCu2
Method: DFT, GGA-PBE
State: optimized geometry

Output
E_tot in eV/atom: -3.057
Mass density in g/cm³: 7.148

Geometry as extended XYZ:
```
16
Lattice="-4.323 -4.189 1.200 -0.569 -1.132 -6.006 4.320 -4.341 0.409" Properties=species:S:1:pos:R:3 pbc="T T T"
Cu -0.156 -2.628 -1.196
Cu -2.127 -4.538 -0.649
Cu -0.415 -3.144 -3.935
Cu -2.387 -5.055 -3.388
Cu 1.815 -4.608 -1.009
Cu -0.157 -6.518 -0.462
Cu 1.555 -5.124 -3.748
Cu -0.417 -7.034 -3.201
In 0.000 0.000 0.000
In -2.161 -2.095 0.600
In -0.285 -0.566 -3.003
In 2.160 -2.170 0.204
Li -2.446 -2.661 -2.403
Li -0.001 -4.265 0.804
Li 1.875 -2.737 -2.798
Li -0.286 -4.831 -2.199
```



Material: KAgPdSe3
Method: DFT, GGA-PBE
State: optimized geometry

Output
E above lowest polymorph in eV/atom: 0.0773
Mass density in g/cm³: 5.435

Geometry as extended XYZ:
```
12
Lattice="-2.335 7.198 -0.468 -4.145 5.367 -3.391 -8.054 -2.199 6.362" Properties=species:S:1:pos:R:3 pbc="T T T"
Ag -4.887 5.023 -0.121
Ag -9.647 5.344 2.624
K -6.883 8.893 -1.309
K -7.651 1.474 3.813
Pd 0.000 0.000 0.000
Pd -4.027 -1.100 3.181
Se -2.643 4.803 -1.372
Se -2.431 0.260 1.342
Se -6.378 3.783 1.579
Se -8.155 6.583 0.925
Se -12.102 10.106 1.161
Se -11.890 5.564 3.875
```



Material: TmSnB4
Method: DFT, GGA-PBE
State: optimized geometry

Output
E above lowest polymorph in eV/atom: 0.0000
Mass density in g/cm³: 7.922

Geometry as extended XYZ:
```
6
Lattice="4.666 1.615 1.388 0.284 4.886 -1.532 -2.447 -3.203 3.172" Properties=species:S:1:pos:R:3 pbc="T T T"
B 1.919 1.040 1.465
B -0.176 2.802 0.002
B 2.678 0.496 3.025
B 0.583 2.259 1.562
Sn 0.000 0.000 0.000
Tm 2.475 3.251 -0.072
```



Material: Hf4Sc2Au3C3
Method: DFT, GGA-PBE
State: optimized geometry

Output
E_tot in eV/atom: -8.172
Mass density in g/cm³: 11.872

Geometry as extended XYZ:
```
24
Lattice="4.948 -2.860 0.000 4.948 2.860 0.000 -3.311 0.000 14.141" Properties=species:S:1:pos:R:3 pbc="T T T"
Au 2.392 0.519 3.535
Au 4.120 -2.473 3.535
Au 5.848 0.519 3.535
Au 0.736 -0.519 10.606
Au 2.464 2.473 10.606
Au 4.192 -0.519 10.606
C 2.474 -1.430 0.000
C 5.801 -1.478 0.000
C 4.095 1.478 0.000
C 4.145 1.478 7.071
C 0.818 1.430 7.071
C 2.439 -1.478 7.071
Hf 7.396 -0.465 1.250
Hf 0.821 -0.505 1.251
Hf 7.419 -0.505 5.819
Hf 0.843 -0.465 5.820
Hf 5.741 0.465 8.321
Hf -0.834 0.505 8.322
Hf 5.763 0.505 12.890
Hf -0.812 0.465 12.891
Sc 4.142 -0.465 1.337
Sc 4.098 -0.465 5.733
Sc 2.487 0.465 8.408
Sc 2.442 0.465 12.804
```



Material: Cu2Ag3
Method: DFT, GGA-PBE
State: optimized geometry

Output
E above lowest polymorph in eV/atom: 0.0452
Mass density in g/cm³: 9.669

Geometry as extended XYZ:
```
10
Lattice="4.710 0.000 0.000 0.000 2.834 0.000 -0.003 0.000 11.596" Properties=species:S:1:pos:R:3 pbc="T T T"
Ag 3.548 0.709 0.417
Ag 1.304 0.709 2.192
Ag 1.941 2.126 4.626
Ag 2.766 0.709 6.970
Ag 3.403 2.126 9.403
Ag 1.159 2.126 11.178
Cu 3.751 2.126 2.713
Cu 4.345 0.709 4.750
Cu 0.363 2.126 6.846
Cu 0.956 0.709 8.883
```



Material: Dy2HoFe2B2N3
Method: DFT, GGA-PBE
State: optimized geometry

Output
E_tot in eV/atom: -8.054
Mass density in g/cm³: 9.180

Geometry as extended XYZ:
```
10
Lattice="5.926 -3.740 7.759 2.341 -7.009 7.396 -2.819 4.113 -9.189" Properties=species:S:1:pos:R:3 pbc="T T T"
B 1.549 -2.014 2.840
B 6.717 -8.735 12.315
Dy 3.126 -4.065 5.731
Dy 5.141 -6.685 9.424
Fe 3.620 -2.501 3.074
Fe 1.828 -4.136 2.892
Ho 0.000 0.000 0.000
N 0.945 -1.229 1.733
N 4.133 -5.375 7.577
N 7.321 -9.520 13.422
```